TaMnPt2Se: relaxed, GGA-PBE.

The structure in POSCAR format:
```
TaMnPt2Se
1.0
-2.084 -3.930 1.407
3.729 -0.998 2.735
-1.975 2.313 3.537
Mn Se Pt Ta
1 1 2 1
Cartesian
-0.164 -1.307 3.839
0.000 0.000 0.000
-0.987 1.157 1.769
-1.042 -1.965 0.703
1.865 -0.499 1.367
```

Summary:
Its density of states at the Fermi level is 1.88 states/eV/cell. The calculation puts the final energy at -32.93 eV per cell.

---

MnSi2Pt: relaxed, GGA-PBE.

The structure in POSCAR format:
```
MnSi2Pt
1.0
7.928 -0.016 -0.009
7.400 2.846 -0.009
7.400 1.366 2.497
Mn Pt Si
1 1 2
Cartesian
11.493 2.122 1.253
16.932 3.127 1.846
22.697 4.191 2.475
5.696 1.052 0.621
```

Summary:
Its density of states at the Fermi level is 2.52 states/eV/cell. The calculation puts the final energy at -26.35 eV per cell.

---

Question: What is the final energy in the second record?
Answer: -26.35 eV per cell